Here is crystalline CsZnW3 at its relaxed geometry from Alexandria. Energies are from PBE.

The value obtained for the density of states at the Fermi level is 8.656 states/eV/cell. The size of the total moment comes out at 1.59 μB per cell. The value obtained for the energy above the most stable polymorph in this dataset is 0.0 meV/atom. The calculation puts the formation enthalpy at 0 K at 2.755 eV/atom.

Lattice parameters (Å, degrees): 4.8333 4.8333 4.8333 90.00 90.00 90.00
Space group Pm-3m (No. 221)
Asymmetric unit:
Cs: 0.0000 0.0000 0.0000 (multiplicity 1)
Zn: 0.5000 0.5000 0.5000 (multiplicity 1)
W: 0.0000 0.5000 0.5000 (multiplicity 3)